Material: TbDyAlCu
Method: DFT, PBE
State: relaxed

Unit cell a=5.0541 b=5.0541 c=5.0541 alpha=60.00 beta=60.00 gamma=60.00
Fractional positions:
Tb 0.5000 0.5000 0.5000
Al 0.7500 0.7500 0.7500
Cu 0.2500 0.2500 0.2500
Dy 0.0000 0.0000 0.0000

As for the magnetization: 0.00 μB/cell. For the volume, the calculation gives 22.82 Å³/atom. As for the symmetry: F-43m. For the density of states at the Fermi level, the calculation gives 4.1 states/eV/f.u.

Material: TbDyAlCu
Method: DFT, PBE
State: relaxed

Unit cell a=3.4779 b=3.4779 c=7.3983 alpha=90.00 beta=90.00 gamma=90.00
Fractional positions:
Tb 0.0000 0.0000 0.3703
Dy 0.0000 0.0000 0.8419
Al 0.5000 0.5000 0.1048
Cu 0.5000 0.5000 0.6110

As for the magnetization: 0.00 μB/cell. For the volume, the calculation gives 22.37 Å³/atom. As for the symmetry: P4mm. For the density of states at the Fermi level, the calculation gives 3.0 states/eV/f.u.

Material: Dy2Th2Al4Cu
Method: DFT, PBE
State: relaxed

Unit cell a=6.6117 b=6.6117 c=6.6117 alpha=96.10 beta=116.54 gamma=116.54
Fractional positions:
Dy 0.0000 0.6937 0.6937
Dy 0.0000 0.3063 0.3063
Th 0.5000 0.7500 0.2500
Th 0.5000 0.2500 0.7500
Al 0.0000 0.7607 0.2393
Al 0.5215 0.7607 0.7607
Al 0.0000 0.2393 0.7607
Al 0.4785 0.2393 0.2393
Cu 0.0000 0.0000 0.0000

As for the magnetization: 0.00 μB/cell. For the volume, the calculation gives 23.75 Å³/atom. As for the symmetry: I4/mmm. For the density of states at the Fermi level, the calculation gives 9.2 states/eV/f.u.

Material: DyTmAlCu
Method: DFT, PBE
State: relaxed

Unit cell a=3.4470 b=3.4470 c=7.3277 alpha=90.00 beta=90.00 gamma=90.00
Fractional positions:
Dy 0.0000 0.0000 0.3692
Tm 0.0000 0.0000 0.8398
Al 0.5000 0.5000 0.1009
Cu 0.5000 0.5000 0.6181

As for the magnetization: 0.00 μB/cell. For the volume, the calculation gives 21.77 Å³/atom. As for the symmetry: P4mm. For the density of states at the Fermi level, the calculation gives 2.7 states/eV/f.u.

Material: DyTmAlCu
Method: DFT, PBE
State: relaxed

Unit cell a=5.0068 b=5.0068 c=5.0068 alpha=60.00 beta=60.00 gamma=60.00
Fractional positions:
Tm 0.5000 0.5000 0.5000
Al 0.7500 0.7500 0.7500
Cu 0.2500 0.2500 0.2500
Dy 0.0000 0.0000 0.0000

As for the magnetization: 0.00 μB/cell. For the volume, the calculation gives 22.19 Å³/atom. As for the symmetry: F-43m. For the density of states at the Fermi level, the calculation gives 3.8 states/eV/f.u.

Material: DyYAlCu
Method: DFT, PBE
State: relaxed

Unit cell a=5.0498 b=5.0498 c=5.0498 alpha=60.00 beta=60.00 gamma=60.00
Fractional positions:
Y 0.7500 0.7500 0.7500
Al 0.5000 0.5000 0.5000
Cu 0.0000 0.0000 0.0000
Dy 0.2500 0.2500 0.2500

As for the magnetization: 0.00 μB/cell. For the volume, the calculation gives 22.76 Å³/atom. As for the symmetry: F-43m. For the density of states at the Fermi level, the calculation gives 3.9 states/eV/f.u.

DFT formation energy: -0.28, -0.32, -0.17, -0.33, -0.29, -0.29 (eV/atom)